Below is a geometry-optimized NaZr2Rh structure, with properties calculated at the PBE level.

- DFT formation energy: 0.87 eV per formula unit
- Symmetry: I-42d (122)
- Magnetic moment: 0.000 μB/atom
- Energy above the lowest structure with this stoichiometry: 172.6 meV/atom
- Electronic total energy: -6.22 eV per atom

Unit cell a=7.729 b=7.729 c=6.227 alpha=51.64 beta=51.64 gamma=90.00
Fractional positions:
Na: 0.500 0.500 0.000
Na: 0.250 0.750 0.500
Rh: 0.000 0.000 0.000
Rh: 0.750 0.250 0.500
Zr: 0.673 0.125 0.250
Zr: 0.077 0.625 0.250
Zr: 0.375 0.327 0.750
Zr: 0.875 0.923 0.750